No. 1
This record from Alexandria describes crystalline AlCr2Pb at its relaxed geometry. The functional is GGA-PBE.

```
data_AlCr2Pb
_chemical_formula_sum 'Al2 Cr4 Pb2'
_symmetry_space_group_name_H-M 'A m m 2'
_symmetry_Int_Tables_number 38
_cell_length_a 3.038
_cell_length_b 3.028
_cell_length_c 15.609
_cell_angle_alpha 90.00
_cell_angle_beta 90.00
_cell_angle_gamma 90.00
loop_
_symmetry_equiv_pos_as_xyz
'x,y,z'
'-x,-y,z'
'-x,y,z'
'x,-y,z'
'x,y+1/2,z+1/2'
'-x,-y+1/2,z+1/2'
'-x,y+1/2,z+1/2'
'x,-y+1/2,z+1/2'
loop_
_atom_site_label
_atom_site_fract_x
_atom_site_fract_y
_atom_site_fract_z
_atom_site_occupancy
Al1 0.000 0.000 0.000 1
Cr1 0.000 0.000 0.825 1
Cr2 0.500 0.000 0.403 1
Pb1 0.500 0.000 0.187 1
```

Properties
The calculation puts the formation energy at 25 kJ per mole of atoms. For the total energy, the calculation gives -51.33 eV/cell.

No. 2
This record from Alexandria describes crystalline AlCrPb2 at its relaxed geometry. The functional is GGA-PBE.

```
data_AlCrPb2
_chemical_formula_sum 'Al3 Cr3 Pb6'
_symmetry_space_group_name_H-M 'R -3 m'
_symmetry_Int_Tables_number 166
_symmetry_space_group_name_Hall '-R 3 2"'
_cell_length_a 3.6097
_cell_length_b 3.6097
_cell_length_c 25.7058
_cell_angle_alpha 90.00
_cell_angle_beta 90.00
_cell_angle_gamma 120.00
loop_
_atom_site_label
_atom_site_fract_x
_atom_site_fract_y
_atom_site_fract_z
_atom_site_occupancy
Al1 0.0000 0.0000 0.0000 1
Cr1 0.0000 0.0000 0.5000 1
Pb1 0.0000 0.0000 0.2496 1
```

Properties
The calculation puts the formation energy at 48 kJ per mole of atoms. For the total energy, the calculation gives -56.37 eV/cell.

No. 3
This record from Alexandria describes crystalline AlCrPb2 at its relaxed geometry. The functional is GGA-PBE.

```
data_AlCrPb2
_chemical_formula_sum 'Al4 Cr4 Pb8'
_symmetry_space_group_name_H-M 'F -4 3 m'
_symmetry_Int_Tables_number 216
_symmetry_space_group_name_Hall 'F -4 2 3'
_cell_length_a 7.335
_cell_length_b 7.335
_cell_length_c 7.335
_cell_angle_alpha 90.00
_cell_angle_beta 90.00
_cell_angle_gamma 90.00
loop_
_atom_site_label
_atom_site_fract_x
_atom_site_fract_y
_atom_site_fract_z
_atom_site_occupancy
Al1 0.000 0.000 0.000 1
Cr1 0.250 0.250 0.250 1
Pb1 0.000 0.000 0.500 1
Pb2 0.250 0.250 0.750 1
```

Properties
The calculation puts the formation energy at 50 kJ per mole of atoms. For the total energy, the calculation gives -74.87 eV/cell.

No. 4
This record from Alexandria describes crystalline AlCrPb4 at its relaxed geometry. The functional is GGA-PBE.

```
data_AlCrPb4
_chemical_formula_sum 'Al4 Cr4 Pb16'
_symmetry_space_group_name_H-M 'F -4 3 m'
_symmetry_Int_Tables_number 216
_symmetry_space_group_name_Hall 'F -4 2 3'
_cell_length_a 9.041
_cell_length_b 9.041
_cell_length_c 9.041
_cell_angle_alpha 90.00
_cell_angle_beta 90.00
_cell_angle_gamma 90.00
loop_
_atom_site_label
_atom_site_fract_x
_atom_site_fract_y
_atom_site_fract_z
_atom_site_occupancy
Al1 0.000 0.000 0.000 1
Cr1 0.250 0.250 0.750 1
Pb1 0.125 0.125 0.375 1
```

Properties
The calculation puts the formation energy at 63 kJ per mole of atoms. For the total energy, the calculation gives -97.22 eV/cell.

No. 5
This record from Alexandria describes crystalline AlCr2Pb at its relaxed geometry. The functional is GGA-PBE.

```
data_AlCr2Pb
_chemical_formula_sum 'Al2 Cr4 Pb2'
_symmetry_space_group_name_H-M 'C 1 2/m 1'
_symmetry_Int_Tables_number 12
_cell_length_a 8.799
_cell_length_b 3.162
_cell_length_c 5.467
_cell_angle_alpha 90.00
_cell_angle_beta 101.76
_cell_angle_gamma 90.00
loop_
_symmetry_equiv_pos_as_xyz
'x,y,z'
'-x,-y,-z'
'-x,y,-z'
'x,-y,z'
'x+1/2,y+1/2,z'
'-x+1/2,-y+1/2,-z'
'-x+1/2,y+1/2,-z'
'x+1/2,-y+1/2,z'
loop_
_atom_site_label
_atom_site_fract_x
_atom_site_fract_y
_atom_site_fract_z
_atom_site_occupancy
Al1 0.000 0.000 0.000 1
Cr1 0.242 0.500 0.221 1
Pb1 0.000 0.500 0.500 1
```

Properties
The calculation puts the formation energy at 53 kJ per mole of atoms. For the total energy, the calculation gives -49.03 eV/cell.

No. 6
This record from Alexandria describes crystalline AlCrPb2 at its relaxed geometry. The functional is GGA-PBE.

```
data_AlCrPb2
_chemical_formula_sum 'Al2 Cr2 Pb4'
_symmetry_space_group_name_H-M 'C 1 2/m 1'
_symmetry_Int_Tables_number 12
_cell_length_a 10.098
_cell_length_b 3.412
_cell_length_c 5.743
_cell_angle_alpha 90.00
_cell_angle_beta 103.11
_cell_angle_gamma 90.00
loop_
_symmetry_equiv_pos_as_xyz
'x,y,z'
'-x,-y,-z'
'-x,y,-z'
'x,-y,z'
'x+1/2,y+1/2,z'
'-x+1/2,-y+1/2,-z'
'-x+1/2,y+1/2,-z'
'x+1/2,-y+1/2,z'
loop_
_atom_site_label
_atom_site_fract_x
_atom_site_fract_y
_atom_site_fract_z
_atom_site_occupancy
Al1 0.000 0.000 0.000 1
Cr1 0.000 0.500 0.500 1
Pb1 0.244 0.000 0.747 1
```

Properties
The calculation puts the formation energy at 47 kJ per mole of atoms. For the total energy, the calculation gives -37.70 eV/cell.

No. 7
This record from Alexandria describes crystalline AlCr4Pb at its relaxed geometry. The functional is GGA-PBE.

```
data_AlCr4Pb
_chemical_formula_sum 'Al4 Cr16 Pb4'
_symmetry_space_group_name_H-M 'F -4 3 m'
_symmetry_Int_Tables_number 216
_symmetry_space_group_name_Hall 'F -4 2 3'
_cell_length_a 7.011
_cell_length_b 7.011
_cell_length_c 7.011
_cell_angle_alpha 90.00
_cell_angle_beta 90.00
_cell_angle_gamma 90.00
loop_
_atom_site_label
_atom_site_fract_x
_atom_site_fract_y
_atom_site_fract_z
_atom_site_occupancy
Al1 0.000 0.000 0.000 1
Cr1 0.126 0.126 0.374 1
Pb1 0.250 0.250 0.750 1
```

Properties
The calculation puts the formation energy at 42 kJ per mole of atoms. For the total energy, the calculation gives -173.40 eV/cell.

No. 8
This record from Alexandria describes crystalline AlCrPb2 at its relaxed geometry. The functional is GGA-PBE.

```
data_AlCrPb2
_chemical_formula_sum 'Al1 Cr1 Pb2'
_symmetry_space_group_name_H-M 'P 4/m m m'
_symmetry_Int_Tables_number 123
_symmetry_space_group_name_Hall '-P 4 2'
_cell_length_a 4.751
_cell_length_b 4.751
_cell_length_c 4.199
_cell_angle_alpha 90.00
_cell_angle_beta 90.00
_cell_angle_gamma 90.00
loop_
_atom_site_label
_atom_site_fract_x
_atom_site_fract_y
_atom_site_fract_z
_atom_site_occupancy
Al1 0.000 0.000 0.000 1
Cr1 0.500 0.500 0.000 1
Pb1 0.000 0.500 0.500 1
```

Properties
The calculation puts the formation energy at 43 kJ per mole of atoms. For the total energy, the calculation gives -19.01 eV/cell.

No. 9
This record from Alexandria describes crystalline AlCr2Pb at its relaxed geometry. The functional is GGA-PBE.

```
data_AlCr2Pb
_chemical_formula_sum 'Al4 Cr8 Pb4'
_symmetry_space_group_name_H-M 'F -4 3 m'
_symmetry_Int_Tables_number 216
_symmetry_space_group_name_Hall 'F -4 2 3'
_cell_length_a 6.632
_cell_length_b 6.632
_cell_length_c 6.632
_cell_angle_alpha 90.00
_cell_angle_beta 90.00
_cell_angle_gamma 90.00
loop_
_atom_site_label
_atom_site_fract_x
_atom_site_fract_y
_atom_site_fract_z
_atom_site_occupancy
Al1 0.000 0.000 0.000 1
Cr1 0.000 0.000 0.500 1
Cr2 0.250 0.250 0.750 1
Pb1 0.250 0.250 0.250 1
```

Properties
The calculation puts the formation energy at 50 kJ per mole of atoms. For the total energy, the calculation gives -98.51 eV/cell.

No. 10
This record from Alexandria describes crystalline AlCrPb2 at its relaxed geometry. The functional is GGA-PBE.

```
data_AlCrPb2
_chemical_formula_sum 'Al2 Cr2 Pb4'
_symmetry_space_group_name_H-M 'C 1 2/m 1'
_symmetry_Int_Tables_number 12
_cell_length_a 6.642
_cell_length_b 8.303
_cell_length_c 3.442
_cell_angle_alpha 90.00
_cell_angle_beta 91.51
_cell_angle_gamma 90.00
loop_
_symmetry_equiv_pos_as_xyz
'x,y,z'
'-x,-y,-z'
'-x,y,-z'
'x,-y,z'
'x+1/2,y+1/2,z'
'-x+1/2,-y+1/2,-z'
'-x+1/2,y+1/2,-z'
'x+1/2,-y+1/2,z'
loop_
_atom_site_label
_atom_site_fract_x
_atom_site_fract_y
_atom_site_fract_z
_atom_site_occupancy
Al1 0.000 0.000 0.000 1
Cr1 0.000 0.500 0.000 1
Pb1 0.250 0.250 0.500 1
```

Properties
The calculation puts the formation energy at 44 kJ per mole of atoms. For the total energy, the calculation gives -37.91 eV/cell.

No. 11
This record from Alexandria describes crystalline AlCrPb2 at its relaxed geometry. The functional is GGA-PBE.

```
data_AlCrPb2
_chemical_formula_sum 'Al1 Cr1 Pb2'
_symmetry_space_group_name_H-M 'P 1 m 1'
_symmetry_Int_Tables_number 6
_cell_length_a 4.130
_cell_length_b 4.282
_cell_length_c 5.676
_cell_angle_alpha 90.00
_cell_angle_beta 111.06
_cell_angle_gamma 90.00
loop_
_symmetry_equiv_pos_as_xyz
'x,y,z'
'x,-y,z'
loop_
_atom_site_label
_atom_site_fract_x
_atom_site_fract_y
_atom_site_fract_z
_atom_site_occupancy
Al1 0.000 0.000 0.000 1
Cr1 0.146 0.500 0.297 1
Pb1 0.430 0.500 0.860 1
Pb2 0.715 0.000 0.435 1
```

Properties
The calculation puts the formation energy at 35 kJ per mole of atoms. For the total energy, the calculation gives -19.33 eV/cell.

No. 12
This record from Alexandria describes crystalline Al4CrPb at its relaxed geometry. The functional is GGA-PBE.

```
data_Al4CrPb
_chemical_formula_sum 'Al16 Cr4 Pb4'
_symmetry_space_group_name_H-M 'F -4 3 m'
_symmetry_Int_Tables_number 216
_symmetry_space_group_name_Hall 'F -4 2 3'
_cell_length_a 7.704
_cell_length_b 7.704
_cell_length_c 7.704
_cell_angle_alpha 90.00
_cell_angle_beta 90.00
_cell_angle_gamma 90.00
loop_
_atom_site_label
_atom_site_fract_x
_atom_site_fract_y
_atom_site_fract_z
_atom_site_occupancy
Al1 0.125 0.125 0.125 1
Cr1 0.250 0.250 0.750 1
Pb1 0.000 0.000 0.500 1
```

Properties
The calculation puts the formation energy at 29 kJ per mole of atoms. For the total energy, the calculation gives -106.10 eV/cell.

Quick rundown of size of the total moment, same order as above: 0.20; 1.00; 1.10; 0.80; 1.65; 1.06; 0.00; 1.05; 0.04; 1.04; 0.88; 0.54 μB/atom